Here is Pm3Nd4Sm4 after structural relaxation from Alexandria. Energies are from PBE.

abc: 10.8636 6.7613 6.7613
angles: 50.96 90.00 90.00
Closest atoms and distances in Å follow each position.
Element x y z (fractional)
Pm 0.0000 0.0000 0.0000  7 Nd 3.61-3.83, 5 Sm 3.63-3.82, 2 Pm 3.71
Pm 0.2944 0.1536 0.1536  5 Sm 3.37-3.77, 4 Nd 3.58-3.68, 1 Pm 3.71
Pm 0.7056 0.1536 0.1536  5 Sm 3.37-3.77, 4 Nd 3.58-3.68, 1 Pm 3.71
Nd 0.0000 0.7047 0.7047  2 Sm 3.12, 2 Nd 3.38
Nd 0.2093 0.4996 0.4996  4 Sm 3.36-3.58, 2 Nd 3.38-3.55, 4 Pm 3.58-3.69
Nd 0.5000 0.6334 0.6334  3 Sm 3.33-3.42, 2 Nd 3.55, 4 Pm 3.68
Nd 0.7907 0.4996 0.4996  4 Sm 3.36-3.58, 2 Nd 3.38-3.55, 4 Pm 3.58-3.69
Sm 0.0000 0.2975 0.2975  4 Nd 3.12-3.36
Sm 0.2998 0.8497 0.8497  4 Nd 3.42-3.71, 2 Sm 3.63, 4 Pm 3.71-3.77
Sm 0.5000 0.3606 0.3606  3 Nd 3.33-3.58, 2 Pm 3.37, 4 Sm 3.63
Sm 0.7002 0.8497 0.8497  4 Nd 3.42-3.71, 2 Sm 3.63, 4 Pm 3.71-3.77

## Properties
ΔE_f	0.145	eV per atom
ρ	6945	kg/m³